[1]
AlPRh2I: single point on PBEsol structure, meta-GGA SCAN.

a = 4.4389 Å, b = 4.4389 Å, c = 4.7528 Å
α = 90.00°, β = 90.00°, γ = 90.00°
Space group P4/mmm (No. 123)
Unique sites:
Al 0.0000 0.0000 0.0000
P 0.0000 0.0000 0.5000
Rh 0.0000 0.5000 0.5000
I 0.5000 0.5000 0.0000

Summary:
VASP energy, eV/f.u.: -120.96
Uncorrected formation energy, meV per atom: 295

[2]
Al2Pb2I: single point on PBEsol structure, meta-GGA SCAN.

a = 3.8632 Å, b = 3.8632 Å, c = 18.5395 Å
α = 90.00°, β = 90.00°, γ = 90.00°
Space group I4/mmm (No. 139)
Unique sites:
Al 0.0000 0.5000 0.2500
Pb 0.0000 0.0000 0.1198
I 0.0000 0.0000 0.5000

Summary:
VASP energy, eV/f.u.: -203.48
Uncorrected formation energy, meV per atom: 65

[3]
AlTe2PbI: single point on PBEsol structure, meta-GGA SCAN.

a = 5.3741 Å, b = 5.3741 Å, c = 5.3787 Å
α = 90.00°, β = 90.00°, γ = 90.00°
Space group P4/mmm (No. 123)
Unique sites:
Al 0.0000 0.0000 0.0000
Te 0.0000 0.5000 0.0000
Pb 0.5000 0.5000 0.5000
I 0.0000 0.0000 0.5000

Summary:
VASP energy, eV/f.u.: -194.83
Uncorrected formation energy, meV per atom: -11

[4]
AlPdI2: single point on PBEsol structure, meta-GGA SCAN.

a = 7.1706 Å, b = 7.1706 Å, c = 7.1706 Å
α = 90.00°, β = 90.00°, γ = 90.00°
Space group Fm-3m (No. 225)
Unique sites:
Al 0.0000 0.0000 0.0000
Pd 0.0000 0.0000 0.5000
I 0.2500 0.2500 0.2500

Summary:
VASP energy, eV/f.u.: -112.47
Uncorrected formation energy, meV per atom: 385

[5]
AlPd5I2: single point on PBEsol structure, meta-GGA SCAN.

a = 4.0013 Å, b = 4.0013 Å, c = 19.4712 Å
α = 90.00°, β = 90.00°, γ = 90.00°
Space group I4/mmm (No. 139)
Unique sites:
Al 0.0000 0.0000 0.0000
Pd 0.0000 0.0000 0.5000
Pd 0.0000 0.5000 0.0910
I 0.0000 0.0000 0.3151

Summary:
VASP energy, eV/f.u.: -248.71
Uncorrected formation energy, meV per atom: -450

[6]
AlPd3I: single point on PBEsol structure, meta-GGA SCAN.

a = 4.6029 Å, b = 4.6029 Å, c = 4.6029 Å
α = 90.00°, β = 90.00°, γ = 90.00°
Space group Pm-3m (No. 221)
Unique sites:
Al 0.0000 0.0000 0.0000
Pd 0.0000 0.0000 0.5000
I 0.5000 0.5000 0.5000

Summary:
VASP energy, eV/f.u.: -142.25
Uncorrected formation energy, meV per atom: 113

[7]
ScAl2PdI: single point on PBEsol structure, meta-GGA SCAN.

a = 5.2362 Å, b = 5.2362 Å, c = 5.2618 Å
α = 90.00°, β = 90.00°, γ = 90.00°
Space group P4/mmm (No. 123)
Unique sites:
Sc 0.0000 0.0000 0.0000
Al 0.0000 0.5000 0.0000
Pd 0.5000 0.5000 0.5000
I 0.0000 0.0000 0.5000

Summary:
VASP energy, eV/f.u.: -94.54
Uncorrected formation energy, meV per atom: 943

[8]
Al3PtI: single point on PBEsol structure, meta-GGA SCAN.

a = 4.8582 Å, b = 4.8582 Å, c = 4.8582 Å
α = 90.00°, β = 90.00°, γ = 90.00°
Space group Pm-3m (No. 221)
Unique sites:
Al 0.0000 0.0000 0.5000
Pt 0.0000 0.0000 0.0000
I 0.5000 0.5000 0.5000

Summary:
VASP energy, eV/f.u.: -132.65
Uncorrected formation energy, meV per atom: -493

[9]
Rb2AlTlI6: single point on PBEsol structure, meta-GGA SCAN.

a = 11.9150 Å, b = 11.9150 Å, c = 11.9150 Å
α = 90.00°, β = 90.00°, γ = 90.00°
Space group Fm-3m (No. 225)
Unique sites:
Rb 0.2500 0.2500 0.2500
Al 0.0000 0.0000 0.0000
Tl 0.0000 0.0000 0.5000
I 0.0000 0.0000 0.2304

Summary:
VASP energy, eV/f.u.: -352.18
Uncorrected formation energy, meV per atom: -1014

[10]
AlRhI3: single point on PBEsol structure, meta-GGA SCAN.

a = 5.4102 Å, b = 5.4102 Å, c = 5.4102 Å
α = 90.00°, β = 90.00°, γ = 90.00°
Space group Pm-3m (No. 221)
Unique sites:
Al 0.0000 0.0000 0.0000
Rh 0.5000 0.5000 0.5000
I 0.0000 0.0000 0.5000

Summary:
VASP energy, eV/f.u.: -148.69
Uncorrected formation energy, meV per atom: 612

[11]
AlSbRhI2: single point on PBEsol structure, meta-GGA SCAN.

a = 5.5065 Å, b = 5.5065 Å, c = 4.9271 Å
α = 90.00°, β = 90.00°, γ = 90.00°
Space group P4/mmm (No. 123)
Unique sites:
Al 0.0000 0.0000 0.0000
Sb 0.5000 0.5000 0.0000
Rh 0.5000 0.5000 0.5000
I 0.0000 0.5000 0.5000

Summary:
VASP energy, eV/f.u.: -150.60
Uncorrected formation energy, meV per atom: 333

[12]
AlRuI2: single point on PBEsol structure, meta-GGA SCAN.

a = 9.5763 Å, b = 9.5763 Å, c = 4.7788 Å
α = 90.00°, β = 90.00°, γ = 90.00°
Space group I-42d (No. 122)
Unique sites:
Al 0.0000 0.0000 0.0000
Ru 0.0000 0.0000 0.5000
I 0.1050 0.7500 0.6250

Summary:
VASP energy, eV/f.u.: -115.59
Uncorrected formation energy, meV per atom: 119

[13]
AlRuWI2: single point on PBEsol structure, meta-GGA SCAN.

a = 5.3760 Å, b = 5.3760 Å, c = 4.7252 Å
α = 90.00°, β = 90.00°, γ = 90.00°
Space group P4/mmm (No. 123)
Unique sites:
Al 0.0000 0.0000 0.0000
Ru 0.5000 0.5000 0.5000
W 0.5000 0.5000 0.0000
I 0.0000 0.5000 0.5000

Summary:
VASP energy, eV/f.u.: -178.81
Uncorrected formation energy, meV per atom: 1388

[14]
AlSI2: single point on PBEsol structure, meta-GGA SCAN.

a = 10.3428 Å, b = 10.3428 Å, c = 4.5180 Å
α = 90.00°, β = 90.00°, γ = 90.00°
Space group I-42d (No. 122)
Unique sites:
Al 0.0000 0.0000 0.0000
S 0.0000 0.0000 0.5000
I 0.0968 0.2500 0.1250

Summary:
VASP energy, eV/f.u.: -91.59
Uncorrected formation energy, meV per atom: -181

[15]
AlSb2SI: single point on PBEsol structure, meta-GGA SCAN.

a = 5.2690 Å, b = 5.2690 Å, c = 5.1089 Å
α = 90.00°, β = 90.00°, γ = 90.00°
Space group P4/mmm (No. 123)
Unique sites:
Al 0.0000 0.0000 0.0000
Sb 0.0000 0.5000 0.0000
S 0.5000 0.5000 0.5000
I 0.0000 0.0000 0.5000

Summary:
VASP energy, eV/f.u.: -125.18
Uncorrected formation energy, meV per atom: 693

[16]
AlSbSI2: single point on PBEsol structure, meta-GGA SCAN.

a = 5.9892 Å, b = 5.9892 Å, c = 4.9675 Å
α = 90.00°, β = 90.00°, γ = 90.00°
Space group P4/mmm (No. 123)
Unique sites:
Al 0.0000 0.0000 0.0000
Sb 0.5000 0.5000 0.5000
S 0.5000 0.5000 0.0000
I 0.0000 0.5000 0.5000

Summary:
VASP energy, eV/f.u.: -127.19
Uncorrected formation energy, meV per atom: 188

[17]
AlSbI6: single point on PBEsol structure, meta-GGA SCAN.

a = 15.7570 Å, b = 13.0372 Å, c = 7.3085 Å
α = 90.00°, β = 115.21°, γ = 90.00°
Space group C2/m (No. 12)
Unique sites:
Al 0.2019 0.0000 0.3634
Sb 0.0000 0.1955 0.0000
I 0.1129 0.3326 0.9215
I 0.1246 0.5000 0.4528
I 0.1295 0.1600 0.4535
I 0.1434 0.0000 0.9758

Summary:
VASP energy, eV/f.u.: -269.44
Uncorrected formation energy, meV per atom: -498

[18]
AlSbI2: single point on PBEsol structure, meta-GGA SCAN.

a = 7.6463 Å, b = 7.6463 Å, c = 7.6463 Å
α = 90.00°, β = 90.00°, γ = 90.00°
Space group Fm-3m (No. 225)
Unique sites:
Al 0.0000 0.0000 0.0000
Sb 0.0000 0.0000 0.5000
I 0.2500 0.2500 0.2500

Summary:
VASP energy, eV/f.u.: -116.55
Uncorrected formation energy, meV per atom: 486

[19]
ScAlSb2I: single point on PBEsol structure, meta-GGA SCAN.

a = 5.1898 Å, b = 5.1898 Å, c = 5.3970 Å
α = 90.00°, β = 90.00°, γ = 90.00°
Space group P4/mmm (No. 123)
Unique sites:
Sc 0.0000 0.0000 0.0000
Al 0.5000 0.5000 0.5000
Sb 0.0000 0.5000 0.5000
I 0.5000 0.5000 0.0000

Summary:
VASP energy, eV/f.u.: -131.65
Uncorrected formation energy, meV per atom: 321

[20]
AlSbTeI2: single point on PBEsol structure, meta-GGA SCAN.

a = 5.9111 Å, b = 5.9111 Å, c = 5.7207 Å
α = 90.00°, β = 90.00°, γ = 90.00°
Space group P4/mmm (No. 123)
Unique sites:
Al 0.0000 0.0000 0.0000
Sb 0.5000 0.5000 0.5000
Te 0.5000 0.5000 0.0000
I 0.0000 0.5000 0.5000

Summary:
VASP energy, eV/f.u.: -154.43
Uncorrected formation energy, meV per atom: 263

[21]
AlSbTe2I: single point on PBEsol structure, meta-GGA SCAN.

a = 5.6886 Å, b = 5.6886 Å, c = 5.9125 Å
α = 90.00°, β = 90.00°, γ = 90.00°
Space group P4/mmm (No. 123)
Unique sites:
Al 0.0000 0.0000 0.0000
Sb 0.5000 0.5000 0.5000
Te 0.0000 0.5000 0.5000
I 0.5000 0.5000 0.0000

Summary:
VASP energy, eV/f.u.: -154.10
Uncorrected formation energy, meV per atom: 432

[22]
ScAl2I: single point on PBEsol structure, meta-GGA SCAN.

a = 7.1767 Å, b = 7.1767 Å, c = 7.1767 Å
α = 90.00°, β = 90.00°, γ = 90.00°
Space group Fm-3m (No. 225)
Unique sites:
Sc 0.0000 0.0000 0.0000
Al 0.2500 0.2500 0.2500
I 0.0000 0.0000 0.5000

Summary:
VASP energy, eV/f.u.: -64.31
Uncorrected formation energy, meV per atom: 543

[23]
SrAlSe2I: single point on PBEsol structure, meta-GGA SCAN.

a = 4.9716 Å, b = 4.9716 Å, c = 5.5077 Å
α = 90.00°, β = 90.00°, γ = 90.00°
Space group P4/mmm (No. 123)
Unique sites:
Sr 0.0000 0.0000 0.0000
Al 0.5000 0.5000 0.5000
Se 0.0000 0.5000 0.5000
I 0.5000 0.5000 0.0000

Summary:
VASP energy, eV/f.u.: -112.19
Uncorrected formation energy, meV per atom: -1053

[24]
AlTe2SeI: single point on PBEsol structure, meta-GGA SCAN.

a = 5.4583 Å, b = 5.4583 Å, c = 5.5458 Å
α = 90.00°, β = 90.00°, γ = 90.00°
Space group P4/mmm (No. 123)
Unique sites:
Al 0.0000 0.0000 0.0000
Te 0.0000 0.5000 0.5000
Se 0.5000 0.5000 0.5000
I 0.5000 0.5000 0.0000

Summary:
VASP energy, eV/f.u.: -136.50
Uncorrected formation energy, meV per atom: 516

[25]
AlSiTe2I: single point on PBEsol structure, meta-GGA SCAN.

a = 5.2268 Å, b = 5.2268 Å, c = 5.5293 Å
α = 90.00°, β = 90.00°, γ = 90.00°
Space group P4/mmm (No. 123)
Unique sites:
Al 0.0000 0.0000 0.0000
Si 0.5000 0.5000 0.5000
Te 0.0000 0.5000 0.5000
I 0.5000 0.5000 0.0000

Summary:
VASP energy, eV/f.u.: -126.61
Uncorrected formation energy, meV per atom: 480

[26]
Al2SnI2: single point on PBEsol structure, meta-GGA SCAN.

a = 7.2786 Å, b = 7.2786 Å, c = 5.4369 Å
α = 90.00°, β = 90.00°, γ = 90.00°
Space group P4/mbm (No. 127)
Unique sites:
Al 0.1283 0.3717 0.0000
Sn 0.0000 0.0000 0.0000
I 0.1971 0.3029 0.5000

Summary:
VASP energy, eV/f.u.: -124.65
Uncorrected formation energy, meV per atom: 52

[27]
AlSnI2: single point on PBEsol structure, meta-GGA SCAN.

a = 7.7448 Å, b = 7.7448 Å, c = 7.7448 Å
α = 90.00°, β = 90.00°, γ = 90.00°
Space group Fm-3m (No. 225)
Unique sites:
Al 0.0000 0.0000 0.0000
Sn 0.0000 0.0000 0.5000
I 0.2500 0.2500 0.2500

Summary:
VASP energy, eV/f.u.: -116.21
Uncorrected formation energy, meV per atom: 236